[1]
Pr2NdSbN4 | GGA-PBE | optimized geometry

Results
Formation energy from raw total energies, eV/atom: -0.591
DOS(E_F), states/eV/atom: 0.427
Symmetry: No. 63

```
Pr2NdSbN4
1.0
1.856 -6.070 0.000
1.856 6.070 0.000
0.000 0.000 12.530
Pr Nd Sb N
4 2 2 8
direct
0.130 0.870 0.536
0.130 0.870 0.964
0.870 0.130 0.036
0.870 0.130 0.464
0.387 0.613 0.750
0.613 0.387 0.250
0.347 0.653 0.250
0.653 0.347 0.750
0.062 0.938 0.750
0.222 0.778 0.135
0.222 0.778 0.365
0.500 0.500 0.000
0.500 0.500 0.500
0.778 0.222 0.635
0.778 0.222 0.865
0.938 0.062 0.250
```


[2]
NaLiTe2 | GGA-PBE | optimized geometry

Results
Formation energy from raw total energies, eV/atom: -0.593
DOS(E_F), states/eV/atom: 0.395
Symmetry: No. 123
Offset from the most stable computed form, meV/atom: 50.5

```
NaLiTe2
1.0
3.453 0.000 0.000
0.000 3.453 0.000
0.000 0.000 8.654
Na Li Te
1 1 2
direct
0.000 0.000 0.000
0.000 0.000 0.500
0.500 0.500 0.266
0.500 0.500 0.734
```


[3]
Tb4Pm7Pu | GGA-PBE | optimized geometry

Results
Formation energy, eV/atom: 0.222
DOS(E_F), states/eV/atom: 1.762
Symmetry: No. 12

```
Tb4Pm7Pu
1.0
5.660 -2.755 0.000
5.660 2.755 0.000
-3.701 0.000 12.824
Tb Pm Pu
4 7 1
direct
0.040 0.040 0.278
0.410 0.410 0.872
0.590 0.590 0.128
0.960 0.960 0.722
0.000 0.000 0.500
0.141 0.141 0.971
0.281 0.281 0.603
0.334 0.334 0.244
0.666 0.666 0.756
0.719 0.719 0.397
0.859 0.859 0.029
0.500 0.500 0.500
```


[4]
TaNb3H8 | GGA-PBE | optimized geometry

Results
DOS(E_F), states/eV/atom: 0.215
Symmetry: No. 139

```
TaNb3H8
1.0
-2.278 2.278 4.539
2.278 -2.278 4.539
2.278 2.278 -4.539
Ta Nb H
1 3 8
direct
0.000 0.000 0.000
0.250 0.750 0.500
0.500 0.500 0.000
0.750 0.250 0.500
0.124 0.124 0.496
0.124 0.628 0.000
0.372 0.372 0.496
0.372 0.876 0.000
0.628 0.124 0.000
0.628 0.628 0.504
0.876 0.372 0.000
0.876 0.876 0.504
```


[5]
CaPuHgSb | GGA-PBE | optimized geometry

Results
Formation energy from raw total energies, eV/atom: -0.507
DOS(E_F), states/eV/atom: 3.446
Symmetry: No. 216

```
CaPuHgSb
1.0
7.631 0.000 0.000
0.000 7.631 0.000
0.000 0.000 7.631
Ca Pu Hg Sb
4 4 4 4
direct
0.000 0.000 0.000
0.000 0.500 0.500
0.500 0.000 0.500
0.500 0.500 0.000
0.000 0.000 0.500
0.000 0.500 0.000
0.500 0.000 0.000
0.500 0.500 0.500
0.250 0.250 0.750
0.250 0.750 0.250
0.750 0.250 0.250
0.750 0.750 0.750
0.250 0.250 0.250
0.250 0.750 0.750
0.750 0.250 0.750
0.750 0.750 0.250
```


[6]
RbTeF5 | GGA-PBE | optimized geometry

Results
Formation energy from raw total energies, eV/atom: -2.435
DOS(E_F), states/eV/atom: 0.000
Symmetry: No. 62
Offset from the most stable computed form, meV/atom: 0.0

```
RbTeF5
1.0
14.359 0.000 0.000
0.000 6.330 0.000
0.000 0.000 11.744
Rb Te F
8 8 40
direct
0.097 0.250 0.009
0.099 0.750 0.342
0.401 0.250 0.842
0.403 0.750 0.509
0.597 0.250 0.491
0.599 0.750 0.158
0.901 0.250 0.658
0.903 0.750 0.991
0.078 0.750 0.716
0.243 0.250 0.544
0.257 0.750 0.044
0.422 0.250 0.216
0.578 0.750 0.784
0.743 0.250 0.956
0.757 0.750 0.456
0.922 0.250 0.284
0.027 0.524 0.821
0.027 0.976 0.821
0.051 0.250 0.328
0.082 0.531 0.593
0.082 0.969 0.593
0.124 0.750 0.018
0.218 0.532 0.158
0.218 0.968 0.158
0.247 0.522 0.924
0.247 0.978 0.924
0.253 0.022 0.424
0.253 0.478 0.424
0.282 0.032 0.658
0.282 0.468 0.658
0.376 0.250 0.518
0.418 0.031 0.093
0.418 0.469 0.093
0.449 0.750 0.828
0.473 0.024 0.321
0.473 0.476 0.321
0.527 0.524 0.679
0.527 0.976 0.679
0.551 0.250 0.172
0.582 0.531 0.907
0.582 0.969 0.907
0.624 0.750 0.482
0.718 0.532 0.342
0.718 0.968 0.342
0.747 0.522 0.576
0.747 0.978 0.576
0.753 0.022 0.076
0.753 0.478 0.076
0.782 0.032 0.842
0.782 0.468 0.842
0.876 0.250 0.982
0.918 0.031 0.407
0.918 0.469 0.407
0.949 0.750 0.672
0.973 0.024 0.179
0.973 0.476 0.179
```


[7]
MnNiCl | GGA-PBE | optimized geometry

Results
Formation energy from raw total energies, eV/atom: 0.114
DOS(E_F), states/eV/atom: 0.613
Symmetry: No. 42
Offset from the most stable computed form, meV/atom: 381.3

```
MnNiCl
1.0
3.317 0.000 0.000
0.000 5.090 0.000
0.000 0.000 11.162
Mn Ni Cl
4 4 4
direct
0.000 0.000 0.000
0.000 0.500 0.500
0.500 0.000 0.500
0.500 0.500 0.000
0.000 0.000 0.350
0.000 0.500 0.850
0.500 0.000 0.850
0.500 0.500 0.350
0.000 0.000 0.667
0.000 0.500 0.167
0.500 0.000 0.167
0.500 0.500 0.667
```


[8]
Rb3Mn2Cl7 | GGA-PBE | optimized geometry

Results
Formation energy from raw total energies, eV/atom: -1.522
Symmetry: No. 65
Offset from the most stable computed form, meV/atom: 21.0

```
Rb3Mn2Cl7
1.0
2.576 -13.294 0.000
2.576 13.294 0.000
0.000 0.000 5.036
Rb Mn Cl
3 2 7
direct
0.000 0.000 0.000
0.179 0.821 0.000
0.821 0.179 0.000
0.402 0.598 0.500
0.598 0.402 0.500
0.094 0.906 0.500
0.309 0.691 0.500
0.405 0.595 0.000
0.500 0.500 0.500
0.595 0.405 0.000
0.691 0.309 0.500
0.906 0.094 0.500
```


[9]
Y3RuO7 | GGA-PBE | optimized geometry

Results
Formation energy from raw total energies, eV/atom: -2.724
DOS(E_F), states/eV/atom: 0.037
Symmetry: No. 20

```
Y3RuO7
1.0
3.764 -5.261 0.000
3.764 5.261 0.000
0.000 0.000 7.425
Y Ru O
6 2 14
direct
0.030 0.030 0.000
0.037 0.499 0.256
0.499 0.037 0.744
0.501 0.963 0.244
0.963 0.501 0.756
0.970 0.970 0.500
0.500 0.500 0.000
0.500 0.500 0.500
0.130 0.870 0.750
0.138 0.862 0.250
0.175 0.421 0.975
0.191 0.442 0.537
0.421 0.175 0.025
0.430 0.570 0.250
0.442 0.191 0.463
0.558 0.809 0.963
0.570 0.430 0.750
0.579 0.825 0.525
0.809 0.558 0.037
0.825 0.579 0.475
0.862 0.138 0.750
0.870 0.130 0.250
```


[10]
YPuMgSi | GGA-PBE | optimized geometry

Results
Formation energy from raw total energies, eV/atom: -0.157
DOS(E_F), states/eV/atom: 2.089
Symmetry: No. 216

```
YPuMgSi
1.0
7.198 0.000 0.000
0.000 7.198 0.000
0.000 0.000 7.198
Y Pu Mg Si
4 4 4 4
direct
0.000 0.000 0.000
0.000 0.500 0.500
0.500 0.000 0.500
0.500 0.500 0.000
0.000 0.000 0.500
0.000 0.500 0.000
0.500 0.000 0.000
0.500 0.500 0.500
0.250 0.250 0.750
0.250 0.750 0.250
0.750 0.250 0.250
0.750 0.750 0.750
0.250 0.250 0.250
0.250 0.750 0.750
0.750 0.250 0.750
0.750 0.750 0.250
```


[11]
Hf8Al3Sn2 | GGA-PBE | optimized geometry

Results
Formation energy, eV/atom: 0.010
DOS(E_F), states/eV/atom: 0.866
Symmetry: No. 65

```
Hf8Al3Sn2
1.0
4.557 -7.341 0.000
4.557 7.341 0.000
0.000 0.000 4.417
Hf Al Sn
8 3 2
direct
0.106 0.894 0.000
0.134 0.378 0.500
0.367 0.633 0.000
0.378 0.134 0.500
0.622 0.866 0.500
0.633 0.367 0.000
0.866 0.622 0.500
0.894 0.106 0.000
0.265 0.265 0.000
0.500 0.500 0.500
0.735 0.735 0.000
0.238 0.762 0.500
0.762 0.238 0.500
```


[12]
SmZn2Ir2 | GGA-PBE | optimized geometry

Results
Formation energy, eV/atom: -0.425
DOS(E_F), states/eV/atom: 0.422
Symmetry: No. 139

```
SmZn2Ir2
1.0
-2.012 2.012 11.261
2.012 -2.012 11.261
2.012 2.012 -11.261
Sm Zn Ir
2 4 4
direct
0.130 0.130 0.000
0.870 0.870 0.000
0.000 0.500 0.500
0.320 0.320 0.000
0.500 0.000 0.500
0.680 0.680 0.000
0.250 0.750 0.500
0.430 0.430 0.000
0.570 0.570 0.000
0.750 0.250 0.500
```


| no. | E (eV per atom) | total magnetic moment (Bohr magnetons per cell) |
| --- | --- | --- |
| 1 | -7.060 | 0.000 |
| 2 | -2.972 | 0.000 |
| 3 | -5.286 | 6.004 |
| 4 | -5.970 | 0.000 |
| 5 | -5.697 | 25.633 |
| 6 | -4.359 | 0.000 |
| 7 | -5.485 | 18.655 |
| 8 | -4.369 | 10.000 |
| 9 | -8.486 | 6.012 |
| 10 | -7.110 | 24.412 |
| 11 | -7.594 | 0.001 |
| 12 | -5.423 | 0.000 |